1.
DFT (GGA-PBE) results for an optimized crystal structure of CaAsW3.

Total energy = -5.840 eV/atom
Calculated formation energy = 3.26 eV/atom
Energy above the lowest structure with this stoichiometry = 1956 meV/atom

```
data_CaAsW3
_space_group_name_H-M_alt 'P 1'
_space_group_IT_number 1
_cell_length_a 4.6905
_cell_length_b 4.6905
_cell_length_c 4.6905
_cell_angle_alpha 90.00
_cell_angle_beta 90.00
_cell_angle_gamma 90.00
loop_
_space_group_symop_operation_xyz
'x,y,z'
loop_
_atom_site_label
_atom_site_fract_x
_atom_site_fract_y
_atom_site_fract_z
Ca1 0.0000 0.0000 0.0000
As1 0.5000 0.5000 0.5000
W1 0.0000 0.0000 0.5000
W2 0.0000 0.5000 0.0000
W3 0.5000 0.0000 0.0000
```

2.
DFT (GGA-PBE) results for an optimized crystal structure of MnTcSN2.

Total energy = -7.199 eV/atom
ΔE_f (raw) = 4.32 eV per formula unit
Energy above the lowest structure with this stoichiometry = 397 meV/atom

```
data_MnTcSN2
_space_group_name_H-M_alt 'P 1'
_space_group_IT_number 1
_cell_length_a 3.5918
_cell_length_b 3.5918
_cell_length_c 4.9042
_cell_angle_alpha 90.00
_cell_angle_beta 90.00
_cell_angle_gamma 90.00
loop_
_space_group_symop_operation_xyz
'x,y,z'
loop_
_atom_site_label
_atom_site_fract_x
_atom_site_fract_y
_atom_site_fract_z
Mn1 0.0000 0.0000 0.0000
Tc1 0.5000 0.5000 0.5000
S1 0.0000 0.0000 0.5000
N1 0.0000 0.5000 0.0000
N2 0.5000 0.0000 0.0000
```

3.
DFT (GGA-PBE) results for an optimized crystal structure of LiCoMoIr.

Total energy = -7.230 eV/atom
Calculated formation energy = -0.05 eV/atom

```
data_LiCoMoIr
_space_group_name_H-M_alt 'P 1'
_space_group_IT_number 1
_cell_length_a 4.2142
_cell_length_b 4.2142
_cell_length_c 4.2142
_cell_angle_alpha 60.00
_cell_angle_beta 60.00
_cell_angle_gamma 60.00
loop_
_space_group_symop_operation_xyz
'x,y,z'
loop_
_atom_site_label
_atom_site_fract_x
_atom_site_fract_y
_atom_site_fract_z
Li1 0.0000 0.0000 0.0000
Co1 0.2500 0.2500 0.2500
Mo1 0.5000 0.5000 0.5000
Ir1 0.7500 0.7500 0.7500
```

Q: What is the total energy in the second record?
A: -7.199 eV/atom